The following is a PBE calculation of a relaxed structure of BaLiAg4, from the Alexandria database.

Summary:
total energy = -2.670 eV/atom
formation energy from the elements = -0.8 eV per formula unit

Geometry as CIF:
```
data_BaLiAg4
_symmetry_space_group_name_H-M 'F -4 3 m'
_symmetry_Int_Tables_number 216
_symmetry_space_group_name_Hall 'F -4 2 3'
_cell_length_a 8.239
_cell_length_b 8.239
_cell_length_c 8.239
_cell_angle_alpha 90.00
_cell_angle_beta 90.00
_cell_angle_gamma 90.00
loop_
_atom_site_label
_atom_site_type_symbol
_atom_site_fract_x
_atom_site_fract_y
_atom_site_fract_z
Ba1 Ba 0.000 0.000 0.000
Li1 Li 0.250 0.250 0.250
Ag1 Ag 0.124 0.124 0.624
```